Record 1
Material: SrSn2N2
Method: DFT, PBE
State: optimized geometry

a b c (Å): 3.497 3.497 9.627
angles (deg): 79.54 79.54 60.00
Fractional coordinates of all 5 atoms:
Sr1 0.000 0.000 0.000
Sn1 0.230 0.230 0.310
Sn2 0.770 0.770 0.690
N1 0.607 0.607 0.179
N2 0.393 0.393 0.821

Output
Magnetic moment = 0.0 Bohr magnetons per cell
Energy = -5.465 eV/atom
ΔE_f (raw) = -0.20 eV/atom



Record 2
Material: Sr12Sn3N5
Method: DFT, PBE
State: optimized geometry

a b c (Å): 14.837 14.837 14.837
angles (deg): 109.47 109.47 109.47
Last column: magnetic moment on the atom in μB.
Fractional coordinates of all 80 atoms:
Sn1 0.750 0.375 0.125  0.12
Sn2 0.875 0.750 0.125  0.12
Sn3 0.375 0.750 0.625  0.12
Sn4 0.250 0.125 0.375  0.12
Sn5 0.875 0.125 0.250  0.12
Sn6 0.375 0.625 0.250  0.12
Sn7 0.625 0.375 0.750  0.12
Sn8 0.125 0.875 0.750  0.12
Sn9 0.750 0.875 0.625  0.12
Sn10 0.625 0.250 0.375  0.12
Sn11 0.125 0.250 0.875  0.12
Sn12 0.250 0.625 0.875  0.12
N1 0.125 0.375 0.250  0.09
N2 0.000 0.500 0.000  0.06
N3 0.000 0.000 0.000  0.06
N4 0.375 0.250 0.125  0.09
N5 0.500 0.000 0.500  0.06
N6 0.500 0.500 0.000  0.06
N7 0.125 0.750 0.375  0.09
N8 0.750 0.125 0.875  0.09
N9 0.750 0.625 0.375  0.09
N10 0.375 0.125 0.750  0.09
N11 0.625 0.875 0.250  0.09
N12 0.500 0.500 0.500  0.06
N13 0.500 0.000 0.000  0.06
N14 0.000 0.000 0.500  0.06
N15 0.250 0.375 0.625  0.09
N16 0.250 0.875 0.125  0.09
N17 0.000 0.500 0.500  0.06
N18 0.875 0.250 0.625  0.09
N19 0.625 0.750 0.875  0.09
N20 0.875 0.625 0.750  0.09
Sr1 0.696 0.112 0.012  0.01
Sr2 0.316 0.512 0.400  0.01
Sr3 0.988 0.388 0.304  0.01
Sr4 0.512 0.196 0.112  0.01
Sr5 0.584 0.696 0.684  0.01
Sr6 0.988 0.600 0.184  0.01
Sr7 0.316 0.804 0.416  0.01
Sr8 0.100 0.916 0.112  0.01
Sr9 0.600 0.988 0.684  0.01
Sr10 0.696 0.584 0.184  0.01
Sr11 0.804 0.488 0.388  0.01
Sr12 0.816 0.900 0.012  0.01
Sr13 0.112 0.696 0.512  0.01
Sr14 0.388 0.400 0.084  0.01
Sr15 0.084 0.900 0.388  0.01
Sr16 0.416 0.112 0.600  0.01
Sr17 0.084 0.184 0.196  0.01
Sr18 0.488 0.684 0.100  0.01
Sr19 0.816 0.916 0.304  0.01
Sr20 0.112 0.416 0.100  0.01
Sr21 0.388 0.988 0.804  0.01
Sr22 0.600 0.612 0.416  0.01
Sr23 0.900 0.816 0.512  0.01
Sr24 0.804 0.316 0.916  0.01
Sr25 0.400 0.388 0.584  0.01
Sr26 0.100 0.184 0.488  0.01
Sr27 0.196 0.684 0.084  0.01
Sr28 0.184 0.084 0.696  0.01
Sr29 0.612 0.012 0.196  0.01
Sr30 0.888 0.584 0.900  0.01
Sr31 0.512 0.316 0.900  0.01
Sr32 0.584 0.888 0.400  0.01
Sr33 0.916 0.816 0.804  0.01
Sr34 0.916 0.100 0.612  0.01
Sr35 0.888 0.304 0.488  0.01
Sr36 0.184 0.100 0.988  0.01
Sr37 0.612 0.600 0.916  0.01
Sr38 0.400 0.012 0.316  0.01
Sr39 0.304 0.416 0.816  0.01
Sr40 0.196 0.512 0.612  0.01
Sr41 0.900 0.084 0.888  0.01
Sr42 0.684 0.196 0.584  0.01
Sr43 0.488 0.804 0.888  0.01
Sr44 0.012 0.400 0.816  0.01
Sr45 0.416 0.304 0.316  0.01
Sr46 0.012 0.612 0.696  0.01
Sr47 0.684 0.488 0.600  0.01
Sr48 0.304 0.888 0.988  0.01

Output
Magnetic moment = 6.3 Bohr magnetons per cell
Energy = -4.152 eV/atom
ΔE_f (raw) = -0.46 eV/atom



Record 3
Material: Sr6SnN2
Method: DFT, PBE
State: optimized geometry

a b c (Å): 9.401 9.401 9.401
angles (deg): 60.00 60.00 60.00
Fractional coordinates of all 18 atoms:
Sr1 0.209 0.209 0.791
Sr2 0.791 0.791 0.209
Sr3 0.209 0.791 0.209
Sr4 0.209 0.791 0.791
Sr5 0.459 0.459 0.041
Sr6 0.459 0.041 0.041
Sr7 0.791 0.209 0.791
Sr8 0.041 0.041 0.459
Sr9 0.459 0.041 0.459
Sr10 0.041 0.459 0.459
Sr11 0.791 0.209 0.209
Sr12 0.041 0.459 0.041
Sn1 0.500 0.500 0.500
Sn2 0.750 0.750 0.750
N1 0.125 0.125 0.125
N2 0.125 0.625 0.125
N3 0.125 0.125 0.625
N4 0.625 0.125 0.125

Output
Magnetic moment = 0.0 Bohr magnetons per cell
Energy = -3.659 eV/atom
ΔE_f (raw) = -0.24 eV/atom



Record 4
Material: Sr4Sn2N
Method: DFT, PBE
State: optimized geometry

a b c (Å): 3.617 5.481 13.401
angles (deg): 101.80 90.00 90.00
Last column: magnetic moment on the atom in μB.
Fractional coordinates of all 7 atoms:
Sr1 0.500 0.562 0.123  0.01
Sr2 0.000 0.703 0.406  0.00
Sr3 0.500 0.438 0.877  0.01
Sr4 0.000 0.297 0.594  0.00
Sn1 0.500 0.168 0.335  0.00
Sn2 0.500 0.832 0.665  0.00
N1 0.000 0.500 0.000  0.08

Output
Magnetic moment = 0.1 Bohr magnetons per cell
Energy = -3.651 eV/atom
Relative energy among the computed polymorphs = 104 kJ/mol of formula units
ΔE_f (raw) = -0.36 eV/atom



Record 5
Material: SrSnN3
Method: DFT, PBE
State: optimized geometry

a b c (Å): 4.696 4.696 4.696
angles (deg): 90.00 90.00 90.00
Last column: magnetic moment on the atom in μB.
Fractional coordinates of all 5 atoms:
Sr1 0.000 0.000 0.000  0.14
Sn1 0.500 0.500 0.500  -0.16
N1 0.000 0.500 0.000  1.32
N2 0.000 0.000 0.500  1.37
N3 0.500 0.000 0.000  0.91

Output
Magnetic moment = 5.0 Bohr magnetons per cell
Energy = -4.229 eV/atom
ΔE_f (raw) = 1.90 eV/atom



Record 6
Material: Sr7SnN6
Method: DFT, PBE
State: optimized geometry

a b c (Å): 6.723 11.982 14.099
angles (deg): 90.00 90.00 90.00
Fractional coordinates of all 56 atoms:
Sr1 0.271 0.964 0.018
Sr2 0.229 0.536 0.518
Sr3 0.229 0.464 0.982
Sr4 0.271 0.036 0.482
Sr5 0.729 0.036 0.982
Sr6 0.771 0.464 0.482
Sr7 0.771 0.536 0.018
Sr8 0.729 0.964 0.518
Sr9 0.158 0.768 0.372
Sr10 0.342 0.732 0.872
Sr11 0.342 0.268 0.628
Sr12 0.158 0.232 0.128
Sr13 0.842 0.232 0.628
Sr14 0.658 0.268 0.128
Sr15 0.658 0.732 0.372
Sr16 0.842 0.768 0.872
Sr17 0.396 0.712 0.116
Sr18 0.104 0.788 0.616
Sr19 0.104 0.212 0.884
Sr20 0.396 0.288 0.384
Sr21 0.604 0.288 0.884
Sr22 0.896 0.212 0.384
Sr23 0.896 0.788 0.116
Sr24 0.604 0.712 0.616
Sr25 0.553 0.000 0.250
Sr26 0.947 0.500 0.750
Sr27 0.447 0.000 0.750
Sr28 0.053 0.500 0.250
Sn1 0.056 0.000 0.250
Sn2 0.444 0.500 0.750
Sn3 0.944 0.000 0.750
Sn4 0.556 0.500 0.250
N1 0.244 0.870 0.200
N2 0.256 0.630 0.700
N3 0.256 0.370 0.800
N4 0.244 0.130 0.300
N5 0.756 0.130 0.800
N6 0.744 0.370 0.300
N7 0.744 0.630 0.200
N8 0.756 0.870 0.700
N9 0.407 0.837 0.495
N10 0.093 0.663 0.995
N11 0.093 0.337 0.505
N12 0.407 0.163 0.005
N13 0.593 0.163 0.505
N14 0.907 0.337 0.005
N15 0.907 0.663 0.495
N16 0.593 0.837 0.995
N17 0.370 0.568 0.356
N18 0.130 0.932 0.856
N19 0.130 0.068 0.644
N20 0.370 0.432 0.144
N21 0.630 0.432 0.644
N22 0.870 0.068 0.144
N23 0.870 0.932 0.356
N24 0.630 0.568 0.856

Output
Magnetic moment = 0.0 Bohr magnetons per cell
Energy = -5.217 eV/atom
ΔE_f (raw) = -0.52 eV/atom